The following is a DFT calculation (PBE) of a geometry-optimized Nd4TlI5 structure.

Unit cell a=4.4363 b=9.2188 c=10.0312 alpha=101.20 beta=102.77 gamma=90.00
Sites, in units of the cell vectors:
1 I 0.8314 0.6724 0.6629
2 I 0.1698 0.8179 0.3395
3 I 0.8302 0.1821 0.6605
4 I 0.5000 0.5000 0.0000
5 I 0.1686 0.3276 0.3371
6 Nd 0.9983 0.7686 0.9966
7 Nd 0.0017 0.2314 0.0034
8 Nd 0.6589 0.0701 0.3178
9 Nd 0.3411 0.9299 0.6822
10 Tl 0.5000 0.0000 0.0000

Computed properties:
Its formation energy (no corrections) is -1060 meV/atom. The density of states at the Fermi level is 5.75 states/eV per cell.

***

The following is a DFT calculation (PBE) of a geometry-optimized LiCu2O2 structure.

Unit cell a=5.2543 b=5.7963 c=5.7963 alpha=99.12 beta=116.30 gamma=116.30
Sites, in units of the cell vectors:
1 O 0.2662 0.8882 0.6911
2 O 0.2338 0.3089 0.1118
3 O 0.7662 0.6911 0.8882
4 O 0.7338 0.1118 0.3089
5 Li 0.7500 0.0412 0.9588
6 Li 0.2500 0.9588 0.0412
7 Cu 0.5000 0.5000 0.5000
8 Cu 0.0000 0.5000 0.5000
9 Cu 0.0000 0.0000 0.5000
10 Cu 0.5000 0.5000 0.0000

Computed properties:
The value obtained for the energy above the most stable polymorph in this dataset is 6.47 kJ per mole of atoms. Its formation energy (no corrections) is -878 meV/atom. The density of states at the Fermi level is 9.09 states/eV per cell.

***

The following is a DFT calculation (PBE) of a geometry-optimized BeCdCo2 structure.

Unit cell a=3.1392 b=3.9407 c=4.0724 alpha=90.00 beta=90.00 gamma=90.00
Sites, in units of the cell vectors:
1 Co 0.5000 0.5000 0.0000
2 Co 0.0000 0.0000 0.0000
3 Cd 0.0000 0.5000 0.5000
4 Be 0.5000 0.0000 0.5000

Computed properties:
The value obtained for the energy above the most stable polymorph in this dataset is 22.24 kJ per mole of atoms. The formation enthalpy at 0 K is 1.29 eV/f.u. The density of states at the Fermi level is 3.93 states/eV per cell.

***

The following is a DFT calculation (PBE) of a geometry-optimized SrCr2Ir structure.

Unit cell a=5.8915 b=5.8915 c=5.8915 alpha=152.64 beta=129.40 gamma=58.48
Sites, in units of the cell vectors:
1 Cr 0.0419 0.0419 0.0000
2 Cr 0.4581 0.4581 0.0000
3 Ir 0.2500 0.7500 0.5000
4 Sr 0.7500 0.2500 0.5000

Computed properties:
The value obtained for the energy above the most stable polymorph in this dataset is 43.37 kJ per mole of atoms. The formation enthalpy at 0 K is 3.36 eV/f.u. The density of states at the Fermi level is 5.36 states/eV per cell.

***

The following is a DFT calculation (PBE) of a geometry-optimized Nb4Re5Mo structure.

Unit cell a=3.1923 b=3.1923 c=15.9641 alpha=90.00 beta=90.00 gamma=90.00
Sites, in units of the cell vectors:
1 Re 0.5000 0.5000 0.9026
2 Re 0.5000 0.5000 0.2983
3 Re 0.5000 0.5000 0.7017
4 Re 0.5000 0.5000 0.5000
5 Re 0.5000 0.5000 0.0974
6 Mo 0.0000 0.0000 0.0000
7 Nb 0.0000 0.0000 0.6005
8 Nb 0.0000 0.0000 0.8014
9 Nb 0.0000 0.0000 0.3995
10 Nb 0.0000 0.0000 0.1986

Computed properties:
The formation enthalpy at 0 K is -1.97 eV/f.u. The density of states at the Fermi level is 4.43 states/eV per cell.

***

The following is a DFT calculation (PBE) of a geometry-optimized ErBi2SO4 structure.

Unit cell a=3.8313 b=3.8313 c=8.8845 alpha=90.00 beta=90.00 gamma=90.00
Sites, in units of the cell vectors:
1 Bi 0.5000 0.5000 0.2862
2 Bi 0.5000 0.5000 0.7138
3 O 0.5000 0.0000 0.1535
4 O 0.0000 0.5000 0.1535
5 O 0.0000 0.5000 0.8465
6 O 0.5000 0.0000 0.8465
7 Er 0.0000 0.0000 0.0000
8 S 0.0000 0.0000 0.5000

Computed properties:
Its formation energy (no corrections) is -1741 meV/atom. The density of states at the Fermi level is 3.95 states/eV per cell.

***

The following is a DFT calculation (PBE) of a geometry-optimized CaTb3Pr2 structure.

Unit cell a=6.7768 b=6.7762 c=10.9347 alpha=90.00 beta=90.00 gamma=120.00
Sites, in units of the cell vectors:
1 Tb 0.3388 0.1694 0.7416
2 Tb 0.8306 0.1694 0.7416
3 Tb 0.1694 0.8306 0.2584
4 Tb 0.1694 0.3388 0.2584
5 Tb 0.6612 0.8306 0.2584
6 Tb 0.8306 0.6612 0.7416
7 Pr 0.3333 0.6667 0.5769
8 Pr 0.0000 0.0000 0.5000
9 Pr 0.6667 0.3333 0.4231
10 Pr 0.0000 0.0000 0.0000
11 Ca 0.6667 0.3333 0.0632
12 Ca 0.3333 0.6667 0.9368

Computed properties:
The formation enthalpy at 0 K is 1.26 eV/f.u. The density of states at the Fermi level is 16.45 states/eV per cell.

***

The following is a DFT calculation (PBE) of a geometry-optimized CaInGa4 structure.

Unit cell a=4.8035 b=4.7500 c=6.6299 alpha=90.00 beta=90.01 gamma=122.09
Sites, in units of the cell vectors:
1 In 0.0039 0.4996 0.4982
2 Ga 0.6706 0.8343 0.7220
3 Ga 0.3376 0.1646 0.7222
4 Ga 0.6704 0.8342 0.2743
5 Ga 0.3375 0.1645 0.2741
6 Ca 0.0041 0.4994 0.9981

Computed properties:
The value obtained for the energy above the most stable polymorph in this dataset is 0.00 kJ per mole of atoms. The formation enthalpy at 0 K is -1.37 eV/f.u. The density of states at the Fermi level is 2.30 states/eV per cell.

***

The following is a DFT calculation (PBE) of a geometry-optimized K2CaPd3F12 structure.

Unit cell a=7.5830 b=7.5830 c=7.5830 alpha=64.93 beta=64.93 gamma=64.93
Sites, in units of the cell vectors:
1 Pd 0.5000 0.0000 0.0000
2 Pd 0.0000 0.0000 0.5000
3 Pd 0.0000 0.5000 0.0000
4 F 0.9084 0.3491 0.9084
5 F 0.7013 0.0518 0.7013
6 F 0.2987 0.2987 0.9482
7 F 0.9482 0.2987 0.2987
8 F 0.0916 0.6509 0.0916
9 F 0.3491 0.9084 0.9084
10 F 0.9084 0.9084 0.3491
11 F 0.0916 0.0916 0.6509
12 F 0.0518 0.7013 0.7013
13 F 0.2987 0.9482 0.2987
14 F 0.7013 0.7013 0.0518
15 F 0.6509 0.0916 0.0916
16 K 0.6808 0.6808 0.6808
17 K 0.3192 0.3192 0.3192
18 Ca 0.0000 0.0000 0.0000

Computed properties:
Its formation energy (no corrections) is -2061 meV/atom. The density of states at the Fermi level is 3.27 states/eV per cell.

***

The following is a DFT calculation (PBE) of a geometry-optimized Ba4FeRe structure.

Unit cell a=6.9562 b=6.9562 c=6.9562 alpha=60.00 beta=60.00 gamma=60.00
Sites, in units of the cell vectors:
1 Ba 0.3743 0.8771 0.3743
2 Ba 0.3743 0.3743 0.3743
3 Ba 0.8771 0.3743 0.3743
4 Ba 0.3743 0.3743 0.8771
5 Fe 0.7500 0.7500 0.7500
6 Re 0.0000 0.0000 0.0000

Computed properties:
The formation enthalpy at 0 K is 10.35 eV/f.u. The density of states at the Fermi level is 13.27 states/eV per cell.

***

The following is a DFT calculation (PBE) of a geometry-optimized MnAlP2Br structure.

Unit cell a=4.7637 b=4.8201 c=4.7637 alpha=90.00 beta=90.00 gamma=90.00
Sites, in units of the cell vectors:
1 Mn 0.5000 0.5000 0.5000
2 P 0.0000 0.0000 0.5000
3 P 0.5000 0.0000 0.0000
4 Al 0.0000 0.5000 0.0000
5 Br 0.0000 0.0000 0.0000

Computed properties:
Its formation energy (no corrections) is 1860 meV/atom. The density of states at the Fermi level is 5.18 states/eV per cell.

***

The following is a DFT calculation (PBE) of a geometry-optimized Ac4Ga3Si5 structure.

Unit cell a=4.6925 b=7.7110 c=10.1207 alpha=65.55 beta=76.60 gamma=72.29
Sites, in units of the cell vectors:
1 Ac 0.7443 0.2206 0.2908
2 Ac 0.9476 0.2637 0.8412
3 Ac 0.0524 0.7363 0.1588
4 Ac 0.2557 0.7794 0.7092
5 Si 0.5000 0.5000 0.5000
6 Si 0.5823 0.9352 0.9003
7 Si 0.7178 0.5874 0.9769
8 Si 0.2822 0.4126 0.0231
9 Si 0.4177 0.0648 0.0997
10 Ga 0.3769 0.8757 0.3705
11 Ga 0.0000 0.5000 0.5000
12 Ga 0.6231 0.1243 0.6295

Computed properties:
Its formation energy (no corrections) is -399 meV/atom. The density of states at the Fermi level is 6.29 states/eV per cell.